First-principles (PBE-GGA) data for a relaxed NaThBi2 crystal, as listed in Alexandria. Values from VASP.

Structure (Quantum ESPRESSO input):
```
&SYSTEM
  ibrav = 0, nat = 4, ntyp = 3
/
ATOMIC_SPECIES
Na 22.99 Na.upf
Th 232.04 Th.upf
Bi 208.98 Bi.upf
CELL_PARAMETERS angstrom
2.373 1.370 7.200
-2.373 1.370 7.200
0.000 -2.740 7.200
ATOMIC_POSITIONS crystal
Na 0.000 0.000 0.000
Th 0.175 0.175 0.175
Bi 0.589 0.589 0.589
Bi 0.758 0.758 0.758
```

Results
Its density of states at the Fermi level is 0.73 states/eV/atom. Its energy is -4.467 eV/atom. For the formation energy, the calculation gives -1.37 eV/f.u.

***

First-principles (PBE-GGA) data for a relaxed NaThBi2 crystal, as listed in Alexandria. Values from VASP.

Structure (Quantum ESPRESSO input):
```
&SYSTEM
  ibrav = 0, nat = 4, ntyp = 3
/
ATOMIC_SPECIES
Na 22.99 Na.upf
Th 232.04 Th.upf
Bi 208.98 Bi.upf
CELL_PARAMETERS angstrom
0.000 3.938 3.938
3.938 0.000 3.938
3.938 3.938 0.000
ATOMIC_POSITIONS crystal
Na 0.000 0.000 0.000
Th 0.500 0.500 0.500
Bi 0.250 0.250 0.250
Bi 0.750 0.750 0.750
```

Results
Its density of states at the Fermi level is 0.83 states/eV/atom. Its energy is -4.458 eV/atom. For the formation energy, the calculation gives -1.33 eV/f.u.

***

First-principles (PBE-GGA) data for a relaxed NaThBi2 crystal, as listed in Alexandria. Values from VASP.

Structure (Quantum ESPRESSO input):
```
&SYSTEM
  ibrav = 0, nat = 4, ntyp = 3
/
ATOMIC_SPECIES
Na 22.99 Na.upf
Th 232.04 Th.upf
Bi 208.98 Bi.upf
CELL_PARAMETERS angstrom
4.172 0.000 0.000
0.000 4.172 0.000
0.000 0.000 7.175
ATOMIC_POSITIONS crystal
Na 0.000 0.000 0.000
Th 0.000 0.000 0.500
Bi 0.500 0.500 0.263
Bi 0.500 0.500 0.737
```

Results
Its density of states at the Fermi level is 0.60 states/eV/atom. Its energy is -4.506 eV/atom. For the formation energy, the calculation gives -1.52 eV/f.u.

***

First-principles (PBE-GGA) data for a relaxed NaTh4Bi5 crystal, as listed in Alexandria. Values from VASP.

Structure (Quantum ESPRESSO input):
```
&SYSTEM
  ibrav = 0, nat = 10, ntyp = 3
/
ATOMIC_SPECIES
Na 22.99 Na.upf
Th 232.04 Th.upf
Bi 208.98 Bi.upf
CELL_PARAMETERS angstrom
-2.289 3.244 11.662
2.289 -3.244 11.662
2.289 3.244 -11.662
ATOMIC_POSITIONS crystal
Na 0.000 0.000 0.000
Th 0.201 0.201 0.000
Th 0.402 0.402 0.000
Th 0.598 0.598 0.000
Th 0.799 0.799 0.000
Bi 0.102 0.602 0.500
Bi 0.301 0.801 0.500
Bi 0.500 0.000 0.500
Bi 0.699 0.199 0.500
Bi 0.898 0.398 0.500
```

Results
Its density of states at the Fermi level is 0.50 states/eV/atom. Its energy is -5.567 eV/atom. For the formation energy, the calculation gives -5.27 eV/f.u.